[1]
This record from the Alexandria database describes crystalline Ce2Al4PdAu3 at its relaxed geometry. The functional is PBE.

Lattice parameters (Å, degrees): 4.4063 4.4063 10.3916 90.00 90.00 90.00
Space group P-4m2 (No. 115)
Inequivalent atoms, fractional coordinates:
1 Ce 0.0000 0.5000 0.2470 x2
2 Al 0.0000 0.0000 0.5000 x1
3 Al 0.0000 0.5000 0.8753 x2
4 Al 0.5000 0.5000 0.5000 x1
5 Pd 0.5000 0.5000 0.0000 x1
6 Au 0.0000 0.0000 0.0000 x1
7 Au 0.0000 0.5000 0.6332 x2

Summary:
E_form (meV per atom): -718
Crystal system: tetragonal
Calculated total energy (eV/atom): -4.9046

---

[2]
This record from the Alexandria database describes crystalline CePmAlAu at its relaxed geometry. The functional is PBE.

Lattice parameters (Å, degrees): 7.4379 7.4379 7.4379 90.00 90.00 90.00
Space group F-43m (No. 216)
Inequivalent atoms, fractional coordinates:
1 Ce 0.0000 0.0000 0.0000 x4
2 Pm 0.0000 0.0000 0.5000 x4
3 Al 0.2500 0.2500 0.2500 x4
4 Au 0.2500 0.2500 0.7500 x4

Summary:
E_form (meV per atom): -408
Crystal system: cubic
Calculated total energy (eV/atom): -4.8344

---

[3]
This record from the Alexandria database describes crystalline CePr2Al4Au3 at its relaxed geometry. The functional is PBE.

Lattice parameters (Å, degrees): 4.4160 4.4160 11.7763 90.00 90.00 90.00
Space group P-4m2 (No. 115)
Inequivalent atoms, fractional coordinates:
1 Ce 0.0000 0.0000 0.0000 x1
2 Pr 0.0000 0.5000 0.7299 x2
3 Al 0.0000 0.0000 0.5000 x1
4 Al 0.0000 0.5000 0.1716 x2
5 Al 0.5000 0.5000 0.5000 x1
6 Au 0.0000 0.5000 0.3838 x2
7 Au 0.5000 0.5000 0.0000 x1

Summary:
E_form (meV per atom): -539
Crystal system: tetragonal
Calculated total energy (eV/atom): -4.5687

---

[4]
This record from the Alexandria database describes crystalline Ce2Al4Pt3Au at its relaxed geometry. The functional is PBE.

Lattice parameters (Å, degrees): 4.3154 4.3154 10.4288 90.00 90.00 90.00
Space group P-4m2 (No. 115)
Inequivalent atoms, fractional coordinates:
1 Ce 0.0000 0.5000 0.2441 x2
2 Al 0.0000 0.0000 0.0000 x1
3 Al 0.0000 0.5000 0.6317 x2
4 Al 0.5000 0.5000 0.0000 x1
5 Pt 0.0000 0.5000 0.8683 x2
6 Pt 0.5000 0.5000 0.5000 x1
7 Au 0.0000 0.0000 0.5000 x1

Summary:
E_form (meV per atom): -982
Crystal system: tetragonal
Calculated total energy (eV/atom): -5.8053

---

[5]
This record from the Alexandria database describes crystalline Ce2Al4PtAu3 at its relaxed geometry. The functional is PBE.

Lattice parameters (Å, degrees): 4.4162 4.4162 10.3368 90.00 90.00 90.00
Space group P-4m2 (No. 115)
Inequivalent atoms, fractional coordinates:
1 Ce 0.0000 0.5000 0.2446 x2
2 Al 0.0000 0.0000 0.5000 x1
3 Al 0.0000 0.5000 0.8757 x2
4 Al 0.5000 0.5000 0.5000 x1
5 Pt 0.5000 0.5000 0.0000 x1
6 Au 0.0000 0.0000 0.0000 x1
7 Au 0.0000 0.5000 0.6328 x2

Summary:
E_form (meV per atom): -766
Crystal system: tetragonal
Calculated total energy (eV/atom): -5.0366

---

[6]
This record from the Alexandria database describes crystalline Ce2Al3Pt12Au at its relaxed geometry. The functional is PBE.

Lattice parameters (Å, degrees): 8.2796 8.2796 18.0887 90.00 90.00 120.00
Space group R-3m (No. 166, hexagonal axes)
Inequivalent atoms, fractional coordinates:
1 Ce 0.0000 0.0000 0.1115 x6
2 Al 0.0000 0.5000 0.0000 x9
3 Pt 0.0124 0.5062 0.3777 x18
4 Pt 0.0280 0.5140 0.8652 x18
5 Au 0.0000 0.0000 0.5000 x3

Summary:
E_form (meV per atom): -485
Crystal system: trigonal
Calculated total energy (eV/atom): -5.9774

---

In the order shown, the computed magnetization values come out to 1.73; 5.55; 0.82; 1.42; 1.66; 0.00 μB per cell.